DFT (GGA-PBE) results for an optimized crystal structure of Sm6ZnTc2Cl3.

Values from the calculation:
The calculation puts the density at 6.62 Mg/m³. As for the uncorrected formation energy: -0.7097 eV per atom. As for the space-group type: No. 12.

a b c (Å): 6.8263 6.8263 8.0848
angles (deg): 98.45 98.45 118.08
Closest atoms and distances in Å follow each position.
Fractional positions:
Sm 0.0663 0.4248 0.3001  2 Tc 2.73-2.97, 1 Zn 2.93, 1 Cl 3.05
Sm 0.2482 0.2482 0.7446  2 Tc 2.75, 1 Zn 3.01, 1 Cl 3.06
Sm 0.4248 0.0663 0.3001  2 Tc 2.73-2.97, 1 Zn 2.93, 1 Cl 3.05
Sm 0.5752 0.9337 0.6999  2 Tc 2.73-2.97, 1 Zn 2.93, 1 Cl 3.05
Sm 0.7518 0.7518 0.2554  2 Tc 2.75, 1 Zn 3.01, 1 Cl 3.06
Sm 0.9337 0.5752 0.6999  2 Tc 2.73-2.97, 1 Zn 2.93, 1 Cl 3.05
Zn 0.5000 0.5000 0.5000  6 Sm 2.93-3.01
Tc 0.1367 0.8633 0.5000  6 Sm 2.73-2.97
Tc 0.8633 0.1367 0.5000  6 Sm 2.73-2.97
Cl 0.0000 0.0000 0.0000  6 Sm 3.06-3.30
Cl 0.3223 0.6777 0.0000  6 Sm 3.05-3.40
Cl 0.6777 0.3223 0.0000  6 Sm 3.05-3.40

---

DFT (GGA-PBE) results for an optimized crystal structure of DyY4Th2.

Values from the calculation:
The calculation puts the density at 7.12 Mg/m³. For the energy relative to the elements, the calculation gives 0.110 eV per atom. As for the space-group type: No. 2. The calculation puts the distance to the lowest polymorph of the same formula at 0.0 meV/atom.

a b c (Å): 3.4977 8.5830 8.7568
angles (deg): 62.28 89.08 80.48
Closest atoms and distances in Å follow each position.
Fractional positions:
Dy 0.0000 0.0000 0.0000  2 Th 3.26, 4 Y 3.47-3.50, 2 Dy 3.50
Y 0.0532 0.4463 0.7176  7 Y 3.49-3.81, 1 Dy 3.50, 4 Th 3.54-3.67
Y 0.3527 0.8574 0.4205  1 Dy 3.47, 8 Y 3.50-3.88, 2 Th 3.54-3.59
Y 0.6473 0.1426 0.5795  1 Dy 3.47, 8 Y 3.50-3.88, 2 Th 3.54-3.59
Y 0.9468 0.5537 0.2824  7 Y 3.49-3.81, 1 Dy 3.50, 4 Th 3.54-3.67
Th 0.4062 0.7162 0.8699  1 Dy 3.26, 3 Th 3.28-3.50, 5 Y 3.54-3.65
Th 0.5938 0.2838 0.1301  1 Dy 3.26, 3 Th 3.28-3.50, 5 Y 3.54-3.65

---

DFT (GGA-PBE) results for an optimized crystal structure of ZrCdPt.

Values from the calculation:
The calculation puts the density at 10.96 Mg/m³. For the energy relative to the elements, the calculation gives -0.574 eV per atom. As for the space-group type: No. 123.

a b c (Å): 3.4865 3.4865 9.9366
angles (deg): 90.00 90.00 90.00
Closest atoms and distances in Å follow each position.
Fractional positions:
Zr 0.0000 0.0000 0.1869  4 Pt 2.76, 4 Cd 3.09
Zr 0.0000 0.0000 0.8131  4 Pt 2.76, 4 Cd 3.09
Cd 0.0000 0.0000 0.5000  8 Pt 3.09, 2 Zr 3.11
Cd 0.5000 0.5000 0.0000  8 Zr 3.09, 2 Pt 3.10
Pt 0.5000 0.5000 0.3125  4 Zr 2.76, 4 Cd 3.09
Pt 0.5000 0.5000 0.6875  4 Zr 2.76, 4 Cd 3.09

---

DFT (GGA-PBE) results for an optimized crystal structure of Ti7Ir2Rh.

Values from the calculation:
The calculation puts the density at 7.41 Mg/m³. For the energy relative to the elements, the calculation gives 0.732 eV per atom. As for the space-group type: No. 225.

a b c (Å): 6.3878 6.3878 6.3878
angles (deg): 60.00 60.00 60.00
Closest atoms and distances in Å follow each position.
Fractional positions:
Ti 0.0000 0.0000 0.0000  6 Ti 2.22
Ti 0.2457 0.2457 0.7543  1 Ti 2.22, 1 Rh 2.30
Ti 0.2457 0.7543 0.2457  1 Ti 2.22, 1 Rh 2.30
Ti 0.2457 0.7543 0.7543  1 Ti 2.22, 1 Rh 2.30
Ti 0.7543 0.2457 0.2457  1 Ti 2.22, 1 Rh 2.30
Ti 0.7543 0.2457 0.7543  1 Ti 2.22, 1 Rh 2.30
Ti 0.7543 0.7543 0.2457  1 Ti 2.22, 1 Rh 2.30
Ir 0.2500 0.2500 0.2500  12 Ti 3.19
Ir 0.7500 0.7500 0.7500  12 Ti 3.19
Rh 0.5000 0.5000 0.5000  6 Ti 2.30

---

DFT (GGA-PBE) results for an optimized crystal structure of Na6TeF12.

Values from the calculation:
The calculation puts the density at 2.80 Mg/m³. As for the uncorrected formation energy: -2.3858 eV per atom. As for the space-group type: No. 148.

a b c (Å): 6.7061 6.7061 6.7061
angles (deg): 97.85 97.85 97.85
Closest atoms and distances in Å follow each position.
Fractional positions:
Na 0.1643 0.3862 0.6077  4 F 2.22-2.26
Na 0.3862 0.6077 0.1643  4 F 2.22-2.26
Na 0.3923 0.8357 0.6138  4 F 2.22-2.26
Na 0.6077 0.1643 0.3862  4 F 2.22-2.26
Na 0.6138 0.3923 0.8357  4 F 2.22-2.26
Na 0.8357 0.6138 0.3923  4 F 2.22-2.26
Te 0.0000 0.0000 0.0000  6 F 1.87
F 0.0340 0.9034 0.7334  1 Te 1.87
F 0.0966 0.2666 0.9660  1 Te 1.87
F 0.1654 0.6087 0.3838  4 Na 2.22-2.26
F 0.2666 0.9660 0.0966  1 Te 1.87
F 0.3838 0.1654 0.6087  4 Na 2.22-2.26
F 0.3913 0.6162 0.8346  4 Na 2.22-2.26
F 0.6087 0.3838 0.1654  4 Na 2.22-2.26
F 0.6162 0.8346 0.3913  4 Na 2.22-2.26
F 0.7334 0.0340 0.9034  1 Te 1.87
F 0.8346 0.3913 0.6162  4 Na 2.22-2.26
F 0.9034 0.7334 0.0340  1 Te 1.87
F 0.9660 0.0966 0.2666  1 Te 1.87

---

DFT (GGA-PBE) results for an optimized crystal structure of La2SmHo6.

Values from the calculation:
The calculation puts the density at 7.80 Mg/m³. For the energy relative to the elements, the calculation gives 0.232 eV per atom. As for the space-group type: No. 164. The calculation puts the distance to the lowest polymorph of the same formula at 121.5 meV/atom.

a b c (Å): 7.6143 7.6143 6.0075
angles (deg): 90.00 90.00 120.00
Closest atoms and distances in Å follow each position.
Fractional positions:
La 0.3333 0.6667 0.2148  12 Ho 3.52-3.85
La 0.6667 0.3333 0.7852  12 Ho 3.52-3.85
Sm 0.0000 0.0000 0.0000  6 Ho 3.05
Ho 0.1880 0.3761 0.7053  1 Sm 3.05, 2 Ho 3.32
Ho 0.1880 0.8120 0.7053  1 Sm 3.05, 2 Ho 3.32
Ho 0.3761 0.1880 0.2947  1 Sm 3.05, 2 Ho 3.32
Ho 0.6239 0.8120 0.7053  1 Sm 3.05, 2 Ho 3.32
Ho 0.8120 0.1880 0.2947  1 Sm 3.05, 2 Ho 3.32
Ho 0.8120 0.6239 0.2947  1 Sm 3.05, 2 Ho 3.32

---

DFT (GGA-PBE) results for an optimized crystal structure of Ba2Ni2As2N.

Values from the calculation:
The calculation puts the density at 6.13 Mg/m³. As for the uncorrected formation energy: -0.6319 eV per atom. As for the space-group type: No. 12.

a b c (Å): 6.3468 6.3468 7.4724
angles (deg): 123.45 123.45 38.03
Closest atoms and distances in Å follow each position.
Fractional positions:
Ba 0.0527 0.0527 0.3016  2 N 2.84
Ba 0.9473 0.9473 0.6984  2 N 2.84
Ni 0.3268 0.3268 0.9231  1 N 1.80
Ni 0.6732 0.6732 0.0769  1 N 1.80
As 0.2980 0.2980 0.2182  3 Ni 2.41-2.42
As 0.7020 0.7020 0.7818  3 Ni 2.41-2.42
N 0.5000 0.5000 0.0000  2 Ni 1.80

---

DFT (GGA-PBE) results for an optimized crystal structure of TbPrPd3.

Values from the calculation:
The calculation puts the density at 9.06 Mg/m³. For the energy relative to the elements, the calculation gives -0.799 eV per atom. As for the space-group type: No. 63.

a b c (Å): 13.6518 13.6518 4.3625
angles (deg): 90.00 90.00 163.79
Closest atoms and distances in Å follow each position.
Fractional positions:
Tb 0.2052 0.7948 0.7500  7 Pd 2.89-2.95
Tb 0.7948 0.2052 0.2500  7 Pd 2.89-2.95
Pr 0.0728 0.9272 0.2500  10 Pd 3.15-3.33
Pr 0.9272 0.0728 0.7500  10 Pd 3.15-3.33
Pd 0.3132 0.6868 0.7500  2 Pd 2.74, 5 Tb 2.92-2.95
Pd 0.3746 0.6254 0.2500  3 Pd 2.64-2.74, 2 Tb 2.89
Pd 0.4722 0.5278 0.2500  3 Pd 2.64-2.65
Pd 0.5278 0.4722 0.7500  3 Pd 2.64-2.65
Pd 0.6254 0.3746 0.7500  3 Pd 2.64-2.74, 2 Tb 2.89
Pd 0.6868 0.3132 0.2500  2 Pd 2.74, 5 Tb 2.92-2.95

---

DFT (GGA-PBE) results for an optimized crystal structure of Nb4TlTe5.

Values from the calculation:
The calculation puts the density at 7.52 Mg/m³. As for the uncorrected formation energy: 0.1208 eV per atom. As for the space-group type: No. 59.

a b c (Å): 7.8556 9.1352 7.4749
angles (deg): 90.00 90.00 90.00
Closest atoms and distances in Å follow each position.
Fractional positions:
Nb 0.0964 0.2500 0.0626  1 Nb 2.41
Nb 0.2500 0.5398 0.5102  5 Te 2.75-2.91, 1 Tl 3.03
Nb 0.2500 0.9602 0.5102  5 Te 2.75-2.91, 1 Tl 3.03
Nb 0.4036 0.2500 0.0626  1 Nb 2.41
Nb 0.5964 0.7500 0.9374  1 Nb 2.41
Nb 0.7500 0.0398 0.4898  5 Te 2.75-2.91, 1 Tl 3.03
Nb 0.7500 0.4602 0.4898  5 Te 2.75-2.91, 1 Tl 3.03
Nb 0.9036 0.7500 0.9374  1 Nb 2.41
Tl 0.2500 0.7500 0.8236  4 Nb 2.85-3.03
Tl 0.7500 0.2500 0.1764  4 Nb 2.85-3.03
Te 0.0034 0.5444 0.2244  4 Nb 2.88-3.04
Te 0.0034 0.9556 0.2244  4 Nb 2.88-3.04
Te 0.2500 0.2500 0.4085  4 Nb 2.75-2.85
Te 0.4966 0.5444 0.2244  4 Nb 2.88-3.04
Te 0.4966 0.9556 0.2244  4 Nb 2.88-3.04
Te 0.5034 0.0444 0.7756  4 Nb 2.88-3.04
Te 0.5034 0.4556 0.7756  4 Nb 2.88-3.04
Te 0.7500 0.7500 0.5915  4 Nb 2.75-2.85
Te 0.9966 0.0444 0.7756  4 Nb 2.88-3.04
Te 0.9966 0.4556 0.7756  4 Nb 2.88-3.04

---

DFT (GGA-PBE) results for an optimized crystal structure of TeAsPbBr2.

Values from the calculation:
The calculation puts the density at 5.53 Mg/m³. As for the uncorrected formation energy: 0.2441 eV per atom. As for the space-group type: No. 123. The calculation puts the distance to the lowest polymorph of the same formula at 0.0 meV/atom.

a b c (Å): 5.5059 5.5059 5.6376
angles (deg): 90.00 90.00 90.00
Closest atoms and distances in Å follow each position.
Fractional positions:
Te 0.0000 0.0000 0.0000  4 Br 2.75, 2 As 2.82
As 0.0000 0.0000 0.5000  2 Te 2.82
Pb 0.5000 0.5000 0.5000  4 As 3.89, 8 Br 3.94
Br 0.0000 0.5000 0.0000  2 Te 2.75
Br 0.5000 0.0000 0.0000  2 Te 2.75

---

DFT (GGA-PBE) results for an optimized crystal structure of YNb3Mo.

Values from the calculation:
The calculation puts the density at 6.81 Mg/m³. For the energy relative to the elements, the calculation gives 2.356 eV per atom. As for the space-group type: No. 221. The calculation puts the distance to the lowest polymorph of the same formula at 1536.7 meV/atom.

a b c (Å): 4.8344 4.8344 4.8344
angles (deg): 90.00 90.00 90.00
Closest atoms and distances in Å follow each position.
Fractional positions:
Y 0.0000 0.0000 0.0000  6 Nb 2.42
Nb 0.0000 0.0000 0.5000  2 Y 2.42
Nb 0.0000 0.5000 0.0000  2 Y 2.42
Nb 0.5000 0.0000 0.0000  2 Y 2.42
Mo 0.5000 0.5000 0.5000  12 Nb 3.42

---

DFT (GGA-PBE) results for an optimized crystal structure of DyHo3Tm6.

Values from the calculation:
The calculation puts the density at 8.98 Mg/m³. For the energy relative to the elements, the calculation gives 0.149 eV per atom. As for the space-group type: No. 36. The calculation puts the distance to the lowest polymorph of the same formula at 24.4 meV/atom.

a b c (Å): 10.8052 10.8052 6.0936
angles (deg): 90.00 90.00 119.72
Closest atoms and distances in Å follow each position.
Fractional positions:
Dy 0.2093 0.7907 0.5000  3 Ho 3.22-3.44, 7 Tm 3.23-3.45
Dy 0.7907 0.2093 0.0000  3 Ho 3.22-3.44, 7 Tm 3.23-3.45
Ho 0.0635 0.2801 0.6995  1 Dy 3.22, 6 Tm 3.23-3.57
Ho 0.2801 0.0635 0.1995  1 Dy 3.22, 6 Tm 3.23-3.57
Ho 0.3912 0.6088 0.5858  5 Tm 3.27-3.51, 1 Dy 3.44, 2 Ho 3.63
Ho 0.6088 0.3912 0.0858  5 Tm 3.27-3.51, 1 Dy 3.44, 2 Ho 3.63
Ho 0.7199 0.9365 0.6995  1 Dy 3.22, 6 Tm 3.23-3.57
Ho 0.9365 0.7199 0.1995  1 Dy 3.22, 6 Tm 3.23-3.57
Tm 0.0366 0.4579 0.2942  2 Dy 3.23-3.37, 5 Tm 3.23-3.38, 2 Ho 3.23-3.54
Tm 0.0486 0.9514 0.7343  1 Dy 3.32, 4 Ho 3.48-3.57, 4 Tm 3.55-3.70
Tm 0.2860 0.7140 0.0150  4 Tm 3.23-3.32, 1 Ho 3.27, 2 Dy 3.28-3.45
Tm 0.2880 0.3828 0.1266  4 Ho 3.35-3.51, 6 Tm 3.36-3.70
Tm 0.3828 0.2880 0.6266  4 Ho 3.35-3.51, 6 Tm 3.36-3.70
Tm 0.4579 0.0366 0.7942  2 Dy 3.23-3.37, 5 Tm 3.23-3.38, 2 Ho 3.23-3.54
Tm 0.5421 0.9634 0.2942  2 Dy 3.23-3.37, 5 Tm 3.23-3.38, 2 Ho 3.23-3.54
Tm 0.6172 0.7120 0.1266  4 Ho 3.35-3.51, 6 Tm 3.36-3.70
Tm 0.7120 0.6172 0.6266  4 Ho 3.35-3.51, 6 Tm 3.36-3.70
Tm 0.7140 0.2860 0.5150  4 Tm 3.23-3.32, 1 Ho 3.27, 2 Dy 3.28-3.45
Tm 0.9514 0.0486 0.2343  1 Dy 3.32, 4 Ho 3.48-3.57, 4 Tm 3.55-3.70
Tm 0.9634 0.5421 0.7942  2 Dy 3.23-3.37, 5 Tm 3.23-3.38, 2 Ho 3.23-3.54

---

> Number 10 is which compound?

TeAsPbBr2

---

> The lowest density belongs to which entry?

Na6TeF12

---

> What is the formula in the eighth record?

TbPrPd3